Record 1
A plane-wave DFT calculation with PBE-GGA was carried out for a relaxed structure of Li2Tm.

a = 4.9559 Å, b = 4.9559 Å, c = 4.9559 Å
α = 60.00°, β = 60.00°, γ = 60.00°
Atoms (fractional coordinates):
Tm (0.0000, 0.0000, 0.0000)
Li (0.2500, 0.2500, 0.2500)
Li (0.7500, 0.7500, 0.7500)

Total moment, μB/cell: 0.04
Space-group type: Fm-3m (225)
E above lowest polymorph, kcal/mol of atoms: 15.36


Record 2
A plane-wave DFT calculation with PBE-GGA was carried out for a relaxed structure of Li2Tm.

a = 5.6656 Å, b = 5.6656 Å, c = 5.6656 Å
α = 60.00°, β = 60.00°, γ = 60.00°
Atoms (fractional coordinates):
Li (0.6250, 0.1250, 0.6250)
Li (0.6250, 0.6250, 0.6250)
Li (0.6250, 0.6250, 0.1250)
Li (0.1250, 0.6250, 0.6250)
Tm (0.0000, 0.0000, 0.0000)
Tm (0.2500, 0.2500, 0.2500)

Total moment, μB/cell: 0.01
Space-group type: Fd-3m (227)
E above lowest polymorph, kcal/mol of atoms: 0.00


Record 3
A plane-wave DFT calculation with PBE-GGA was carried out for a relaxed structure of LiTmU.

a = 4.8127 Å, b = 4.8127 Å, c = 4.8127 Å
α = 60.00°, β = 60.00°, γ = 60.00°
Atoms (fractional coordinates):
Li (0.0000, 0.0000, 0.0000)
U (0.7500, 0.7500, 0.7500)
Tm (0.2500, 0.2500, 0.2500)

Total moment, μB/cell: 4.03
Space-group type: F-43m (216)
E above lowest polymorph, kcal/mol of atoms: 0.00


Record 4
A plane-wave DFT calculation with PBE-GGA was carried out for a relaxed structure of LiTmW.

a = 4.6791 Å, b = 4.6791 Å, c = 4.6791 Å
α = 60.00°, β = 60.00°, γ = 60.00°
Atoms (fractional coordinates):
Tm (0.0000, 0.0000, 0.0000)
Li (0.2500, 0.2500, 0.2500)
W (0.7500, 0.7500, 0.7500)

Total moment, μB/cell: 2.51
Space-group type: F-43m (216)
E above lowest polymorph, kcal/mol of atoms: 9.52


Record 5
A plane-wave DFT calculation with PBE-GGA was carried out for a relaxed structure of LiTmW.

a = 4.3830 Å, b = 4.3830 Å, c = 4.3830 Å
α = 60.00°, β = 60.00°, γ = 60.00°
Atoms (fractional coordinates):
Tm (0.2500, 0.2500, 0.2500)
Li (0.0000, 0.0000, 0.0000)
W (0.7500, 0.7500, 0.7500)

Total moment, μB/cell: 0.41
Space-group type: F-43m (216)
E above lowest polymorph, kcal/mol of atoms: 0.00


Record 6
A plane-wave DFT calculation with PBE-GGA was carried out for a relaxed structure of LiYTm.

a = 5.0098 Å, b = 5.0098 Å, c = 5.0098 Å
α = 60.00°, β = 60.00°, γ = 60.00°
Atoms (fractional coordinates):
Tm (0.2500, 0.2500, 0.2500)
Y (0.7500, 0.7500, 0.7500)
Li (0.0000, 0.0000, 0.0000)

Total moment, μB/cell: 0.03
Space-group type: F-43m (216)
E above lowest polymorph, kcal/mol of atoms: 0.00